DFT (GGA-PBE) results for a relaxed structure of Pu2Ga2Se5.

Cell: 14.690 4.550 8.641 Å, 90.00 120.78 90.00°
Space group C2/m (No. 12)
Asymmetric unit:
Pu1 0.113 0.000 0.462 x4
Ga1 0.167 0.500 0.008 x4
Se1 0.000 0.500 0.500 x2
Se2 0.125 0.000 0.854 x4
Se3 0.156 0.500 0.285 x4

For the formation energy without anion corrections, the calculation gives -902 meV per atom. The calculation puts the total moment at 21.81 μB/cell.

***

DFT (GGA-PBE) results for a relaxed structure of Pu3GaSe6.

Cell: 11.303 14.157 6.858 Å, 90.00 90.00 90.00°
Space group Cmc2_1 (No. 36)
Asymmetric unit:
Pu1 0.000 0.104 0.000 x4
Pu2 0.182 0.400 0.931 x8
Ga1 0.000 0.302 0.379 x4
Se1 0.000 0.284 0.734 x4
Se2 0.000 0.463 0.236 x4
Se3 0.161 0.024 0.715 x8
Se4 0.169 0.235 0.207 x8

For the formation energy without anion corrections, the calculation gives -1198 meV per atom. The calculation puts the total moment at 20.36 μB/cell.

***

Question: What is the formula in the second record?
Answer: Pu3GaSe6